Entry 1:
DFT (PBE) results for a relaxed structure of YNb3O6.

Computed properties:
The value obtained for the raw total energy is -9.054 eV per atom. As for the space group: P2_1/m.

abc: 3.0813 9.2905 8.9027
angles: 108.47 90.00 90.00
With the nearest neighbours (Å) after each atom.
Element x y z (fractional)
Nb1 0.7500 0.9687 0.8616  6 O 2.10-2.25
Nb2 0.2500 0.0313 0.1384  6 O 2.10-2.25
Nb3 0.2500 0.2706 0.7089  4 O 2.01-2.20
Nb4 0.7500 0.7294 0.2911  4 O 2.01-2.20
Nb5 0.2500 0.6388 0.5182  4 O 2.12-2.27
Nb6 0.7500 0.3612 0.4818  4 O 2.12-2.27
Y1 0.7500 0.6337 0.8901  8 O 2.29-2.47
Y2 0.2500 0.3663 0.1099  8 O 2.29-2.47
O1 0.2500 0.6252 0.1037  2 Nb 2.25, 3 Y 2.42-2.47
O2 0.2500 0.2487 0.3199  3 Nb 2.14-2.15
O3 0.2500 0.8243 0.9296  3 Nb 2.21-2.25, 2 Y 2.29
O4 0.7500 0.1732 0.5686  3 Nb 2.01-2.12
O5 0.7500 0.1757 0.0704  3 Nb 2.21-2.25, 2 Y 2.29
O6 0.2500 0.8268 0.4314  3 Nb 2.01-2.12
O7 0.7500 0.7513 0.6801  3 Nb 2.14-2.15
O8 0.2500 0.5003 0.6880  4 Nb 2.20-2.43, 2 Y 2.39
O9 0.7500 0.3748 0.8963  2 Nb 2.25, 3 Y 2.42-2.47
O10 0.7500 0.4997 0.3120  4 Nb 2.20-2.43, 2 Y 2.39
O11 0.7500 0.9263 0.2260  3 Nb 2.09-2.10
O12 0.2500 0.0737 0.7740  3 Nb 2.09-2.10



Entry 2:
DFT (PBE) results for a relaxed structure of YNb4O8.

Computed properties:
The value obtained for the raw total energy is -9.022 eV per atom. As for the space group: R-3m.

abc: 5.9717 5.9717 6.7590
angles: 90.00 116.22 120.00
With the nearest neighbours (Å) after each atom.
Element x y z (fractional)
O1 0.0175 0.2641 0.7708  3 Nb 2.16-2.21, 1 Y 2.31
O2 0.4933 0.2466 0.2292  3 Nb 2.16-2.21, 1 Y 2.31
O3 0.4676 0.7338 0.2014  3 Nb 2.08
O4 0.9825 0.7359 0.2292  3 Nb 2.16-2.21, 1 Y 2.31
O5 0.9825 0.2467 0.2292  3 Nb 2.16-2.21, 1 Y 2.31
O6 0.5324 0.2662 0.7986  3 Nb 2.08
O7 0.5067 0.7534 0.7708  3 Nb 2.16-2.21, 1 Y 2.31
O8 0.0175 0.7533 0.7708  3 Nb 2.16-2.21, 1 Y 2.31
Nb1 0.0000 0.0000 0.0000  6 O 2.21
Nb2 0.0000 0.5000 0.0000  6 O 2.08-2.16
Nb3 0.5000 0.5000 0.0000  6 O 2.08-2.16
Nb4 0.5000 0.0000 0.0000  6 O 2.08-2.16
Y1 0.0000 0.5000 0.5000  6 O 2.31



Entry 3:
DFT (PBE) results for a relaxed structure of YNbO2.

Computed properties:
The value obtained for the raw total energy is -8.501 eV per atom. As for the space group: I-42d.

abc: 4.9149 4.9149 6.4040
angles: 67.43 67.43 90.00
With the nearest neighbours (Å) after each atom.
Element x y z (fractional)
O1 0.6676 0.1250 0.2500  2 Nb 2.09, 2 Y 2.32
O2 0.0824 0.6250 0.2500  2 Nb 2.09, 2 Y 2.32
O3 0.8750 0.9176 0.7500  2 Nb 2.09, 2 Y 2.32
O4 0.3750 0.3324 0.7500  2 Nb 2.09, 2 Y 2.32
Y1 0.5000 0.5000 0.0000  4 O 2.32
Y2 0.2500 0.7500 0.5000  4 O 2.32
Nb1 0.0000 0.0000 0.0000  4 O 2.09
Nb2 0.7500 0.2500 0.5000  4 O 2.09



Entry 4:
DFT (PBE) results for a relaxed structure of Y3NbO.

Computed properties:
For the energy above the most stable polymorph in this dataset, the calculation gives 1739 meV/atom. As for the space group: Pm-3m.

abc: 5.3702 5.3702 5.3702
angles: 90.00 90.00 90.00
With the nearest neighbours (Å) after each atom.
Element x y z (fractional)
Y1 0.0000 0.5000 0.0000  2 Nb 2.69
Y2 0.5000 0.0000 0.0000  2 Nb 2.69
Y3 0.0000 0.0000 0.5000  2 Nb 2.69
O1 0.5000 0.5000 0.5000  12 Y 3.80
Nb1 0.0000 0.0000 0.0000  6 Y 2.69



Entry 5:
DFT (PBE) results for a relaxed structure of Y5Nb2O12.

Computed properties:
The value obtained for the raw total energy is -9.132 eV per atom. As for the space group: C2/m.

abc: 5.9188 6.8973 7.4686
angles: 105.79 90.00 115.41
With the nearest neighbours (Å) after each atom.
Element x y z (fractional)
Y1 0.0000 0.0000 0.5000  6 O 2.27-2.36
Y2 0.3094 0.6189 0.1762  7 O 2.32-2.49
Y3 0.6983 0.3967 0.3632  7 O 2.30-2.42
Y4 0.6906 0.3811 0.8238  7 O 2.32-2.49
Y5 0.3017 0.6033 0.6368  7 O 2.30-2.42
O1 0.9037 0.3084 0.5738  4 Y 2.30-2.36
O2 0.5010 0.0020 0.8041  2 Nb 2.12, 1 Y 2.32
O3 0.0009 0.0019 0.8051  2 Nb 2.04, 1 Y 2.27
O4 0.4990 0.9980 0.1959  2 Nb 2.12, 1 Y 2.32
O5 0.5678 0.6680 0.9146  1 Nb 1.98
O6 0.0963 0.6916 0.4262  4 Y 2.30-2.36
O7 0.8998 0.3320 0.0854  1 Nb 1.98
O8 0.5952 0.6916 0.4262  4 Y 2.30-2.36
O9 0.9991 0.9981 0.1949  2 Nb 2.04, 1 Y 2.27
O10 0.4322 0.3320 0.0854  1 Nb 1.98
O11 0.4048 0.3084 0.5738  4 Y 2.30-2.36
O12 0.1002 0.6680 0.9146  1 Nb 1.98
Nb1 0.2409 0.0000 0.0000  6 O 1.98-2.12
Nb2 0.7591 0.0000 0.0000  6 O 1.98-2.12



Entry 6:
DFT (PBE) results for a relaxed structure of Y2NbO.

Computed properties:
The value obtained for the raw total energy is -7.833 eV per atom. As for the space group: R-3m.

abc: 3.2835 3.2835 8.9494
angles: 79.43 79.43 60.00
With the nearest neighbours (Å) after each atom.
Element x y z (fractional)
O1 0.5000 0.5000 0.5000  6 Y 2.38
Y1 0.8881 0.8881 0.3356  3 O 2.38
Y2 0.1119 0.1119 0.6644  3 O 2.38
Nb1 0.0000 0.0000 0.0000  2 Y 2.94, 6 Nb 3.28



Entry 7:
DFT (PBE) results for a relaxed structure of YNbO2.

Computed properties:
The value obtained for the raw total energy is -8.698 eV per atom. As for the space group: I4_1/amd.

abc: 7.2558 7.2558 7.2558
angles: 129.09 129.09 74.86
With the nearest neighbours (Å) after each atom.
Element x y z (fractional)
O1 0.6909 0.4236 0.2673  2 Nb 2.20, 3 Y 2.32-2.35
O2 0.1736 0.9409 0.7673  2 Nb 2.20, 3 Y 2.32-2.35
O3 0.1736 0.4063 0.2327  2 Nb 2.20, 3 Y 2.32-2.35
O4 0.5764 0.8437 0.2673  2 Nb 2.20, 3 Y 2.32-2.35
O5 0.0591 0.8264 0.2327  2 Nb 2.20, 3 Y 2.32-2.35
O6 0.5764 0.3091 0.7327  2 Nb 2.20, 3 Y 2.32-2.35
O7 0.1563 0.4236 0.7327  2 Nb 2.20, 3 Y 2.32-2.35
O8 0.5937 0.8264 0.7673  2 Nb 2.20, 3 Y 2.32-2.35
Y1 0.8750 0.6250 0.2500  6 O 2.32-2.35
Y2 0.3750 0.6250 0.7500  6 O 2.32-2.35
Y3 0.3750 0.1250 0.7500  6 O 2.32-2.35
Y4 0.3750 0.6250 0.2500  6 O 2.32-2.35
Nb1 0.8750 0.1250 0.7500  4 O 2.20
Nb2 0.8750 0.6250 0.7500  4 O 2.20
Nb3 0.8750 0.1250 0.2500  4 O 2.20
Nb4 0.3750 0.1250 0.2500  4 O 2.20



Entry 8:
DFT (PBE) results for a relaxed structure of YNbO2.

Computed properties:
The value obtained for the raw total energy is -8.195 eV per atom. As for the space group: Fm-3m.

abc: 4.0973 4.0973 4.0973
angles: 60.00 60.00 60.00
With the nearest neighbours (Å) after each atom.
Element x y z (fractional)
Nb1 0.5000 0.5000 0.5000  8 O 2.51
O1 0.2500 0.2500 0.2500  4 Nb 2.51, 4 Y 2.51
O2 0.7500 0.7500 0.7500  4 Nb 2.51, 4 Y 2.51
Y1 0.0000 0.0000 0.0000  8 O 2.51